Record 1
The following is a DFT calculation (meta-GGA SCAN) of a crystal of SrZn2Tc relaxed with PBEsol.

Output
- Calculated formation energy: 0.48 eV/atom
- Distance to the lowest polymorph of the same formula: 6.1 meV/atom
- Symmetry: Cmmm, No. 65

Lattice parameters (Å, degrees): 2.853 5.014 5.014 103.55 90.00 90.00
Atoms (fractional coordinates):
Tc  0.500  0.500  0.500
Zn  0.000  0.000  0.500
Zn  0.000  0.500  0.000
Sr  0.500  0.000  0.000

---

Record 2
The following is a DFT calculation (meta-GGA SCAN) of a crystal of Li9Mn2Co5O16 relaxed with PBEsol.

Output
- Distance to the lowest polymorph of the same formula: 29.7 meV/atom
- Formation energy without anion corrections: -2.01 eV/atom
- Symmetry: C2, No. 5

Lattice parameters (Å, degrees): 5.605 5.605 9.456 81.62 81.62 60.30
Last column: magnetic moment on the atom in μB.
Atoms (fractional coordinates):
Li  0.129  0.125  0.240  0.00
Li  0.376  0.381  0.766  0.00
Li  0.619  0.624  0.234  0.00
Li  0.612  0.138  0.237  0.00
Li  0.385  0.861  0.760  0.00
Li  0.500  0.500  0.000  0.00
Li  0.875  0.871  0.760  0.00
Li  0.139  0.615  0.240  0.00
Li  0.862  0.388  0.763  0.00
O  0.934  0.436  0.391  0.02
O  0.304  0.828  0.115  0.03
O  0.186  0.186  0.891  0.01
O  0.828  0.303  0.115  0.03
O  0.697  0.172  0.885  0.03
O  0.066  0.565  0.606  0.00
O  0.435  0.934  0.394  0.00
O  0.066  0.066  0.608  0.02
O  0.934  0.934  0.392  0.02
O  0.435  0.435  0.390  0.02
O  0.565  0.565  0.610  0.02
O  0.564  0.066  0.609  0.02
O  0.694  0.694  0.888  0.02
O  0.814  0.814  0.109  0.01
O  0.172  0.696  0.885  0.03
O  0.306  0.306  0.112  0.02
Co  0.000  0.500  0.000  0.07
Co  0.750  0.750  0.500  0.02
Co  0.250  0.750  0.500  0.01
Co  0.500  0.000  0.000  0.07
Co  0.250  0.250  0.500  0.02
Mn  0.750  0.250  0.500  2.72
Mn  0.000  0.000  0.000  2.74

---

Record 3
The following is a DFT calculation (meta-GGA SCAN) of a crystal of Hg2Sb relaxed with PBEsol.

Output
- Distance to the lowest polymorph of the same formula: 34.5 meV/atom
- Formation energy without anion corrections: 0.08 eV/atom
- Symmetry: Cmcm, No. 63

Lattice parameters (Å, degrees): 3.169 5.884 8.146 90.00 101.22 90.00
Atoms (fractional coordinates):
Sb  0.667  0.250  0.333
Sb  0.333  0.750  0.667
Hg  0.999  0.250  0.997
Hg  0.001  0.750  0.003
Hg  0.665  0.750  0.329
Hg  0.335  0.250  0.671

---

Record 4
The following is a DFT calculation (meta-GGA SCAN) of a crystal of Nd2CdSe4 relaxed with PBEsol.

Output
- Formation energy without anion corrections: -1.64 eV/atom
- Symmetry: I-42d, No. 122

Lattice parameters (Å, degrees): 7.615 7.615 7.615 106.71 110.87 110.87
Atoms (fractional coordinates):
Se  0.238  0.253  0.872
Se  0.381  0.128  0.366
Se  0.762  0.634  0.015
Se  0.738  0.622  0.503
Se  0.262  0.765  0.884
Se  0.881  0.116  0.378
Se  0.619  0.985  0.747
Se  0.119  0.497  0.235
Nd  0.621  0.246  0.125
Nd  0.879  0.375  0.754
Nd  0.379  0.504  0.625
Nd  0.121  0.875  0.496
Cd  0.000  0.000  0.000
Cd  0.500  0.750  0.250

---

Record 5
The following is a DFT calculation (meta-GGA SCAN) of a crystal of Ti2HgPd2 relaxed with PBEsol.

Output
- Calculated formation energy: -0.50 eV/atom
- Distance to the lowest polymorph of the same formula: 0.0 meV/atom
- Symmetry: P4/mbm, No. 127

Lattice parameters (Å, degrees): 2.946 7.432 7.432 90.00 90.00 90.00
Atoms (fractional coordinates):
Hg  0.000  0.000  0.000
Hg  0.000  0.500  0.500
Ti  0.500  0.831  0.331
Ti  0.500  0.169  0.669
Ti  0.500  0.669  0.831
Ti  0.500  0.331  0.169
Pd  0.000  0.628  0.128
Pd  0.000  0.128  0.372
Pd  0.000  0.872  0.628
Pd  0.000  0.372  0.872

---

Record 6
The following is a DFT calculation (meta-GGA SCAN) of a crystal of BaBi2B2 relaxed with PBEsol.

Output
- Calculated formation energy: 0.93 eV/atom
- Symmetry: P4/mbm, No. 127

Lattice parameters (Å, degrees): 3.619 8.639 8.639 90.00 90.00 90.00
Last column: magnetic moment on the atom in μB.
Atoms (fractional coordinates):
Bi  0.000  0.139  0.361  0.01
Bi  0.000  0.639  0.139  0.01
Bi  0.000  0.361  0.861  0.01
Bi  0.000  0.861  0.639  0.01
B  0.500  0.932  0.432  0.00
B  0.500  0.432  0.068  0.00
B  0.500  0.568  0.932  0.00
B  0.500  0.068  0.568  0.00
Ba  0.000  0.000  0.000  0.09
Ba  0.000  0.500  0.500  0.09

---

Record 7
The following is a DFT calculation (meta-GGA SCAN) of a crystal of CaGa2O4 relaxed with PBEsol.

Output
- Distance to the lowest polymorph of the same formula: 3.6 meV/atom
- Formation energy without anion corrections: -2.45 eV/atom
- Symmetry: P2_1/c, No. 14

Lattice parameters (Å, degrees): 7.935 8.802 10.596 90.00 94.83 90.00
Atoms (fractional coordinates):
O  0.233  0.254  0.285
O  0.767  0.746  0.715
O  0.767  0.754  0.215
O  0.970  0.470  0.676
O  0.273  0.911  0.303
O  0.135  0.743  0.569
O  0.277  0.414  0.542
O  0.375  0.563  0.282
O  0.723  0.914  0.958
O  0.486  0.839  0.550
O  0.207  0.428  0.045
O  0.486  0.661  0.050
O  0.970  0.030  0.176
O  0.625  0.437  0.718
O  0.030  0.970  0.824
O  0.207  0.072  0.545
O  0.030  0.530  0.324
O  0.233  0.246  0.785
O  0.793  0.928  0.455
O  0.793  0.572  0.955
O  0.723  0.586  0.458
O  0.865  0.243  0.931
O  0.277  0.086  0.042
O  0.135  0.757  0.069
O  0.273  0.589  0.803
O  0.514  0.161  0.450
O  0.865  0.257  0.431
O  0.727  0.089  0.697
O  0.514  0.339  0.950
O  0.375  0.937  0.782
O  0.625  0.063  0.218
O  0.727  0.411  0.197
Ca  0.461  0.236  0.647
Ca  0.998  0.213  0.630
Ca  0.002  0.787  0.370
Ca  0.002  0.713  0.870
Ca  0.461  0.264  0.147
Ca  0.998  0.287  0.130
Ca  0.539  0.736  0.853
Ca  0.539  0.764  0.353
Ga  0.237  0.059  0.870
Ga  0.288  0.891  0.618
Ga  0.712  0.391  0.882
Ga  0.763  0.941  0.130
Ga  0.700  0.594  0.109
Ga  0.174  0.554  0.639
Ga  0.300  0.094  0.391
Ga  0.300  0.406  0.891
Ga  0.700  0.906  0.609
Ga  0.237  0.441  0.370
Ga  0.288  0.609  0.118
Ga  0.826  0.446  0.361
Ga  0.763  0.559  0.630
Ga  0.712  0.109  0.382
Ga  0.826  0.054  0.861
Ga  0.174  0.946  0.139

---

Record 8
The following is a DFT calculation (meta-GGA SCAN) of a crystal of InTc2Se relaxed with PBEsol.

Output
- Distance to the lowest polymorph of the same formula: 339.6 meV/atom
- Formation energy without anion corrections: 0.70 eV/atom
- Symmetry: F-43m, No. 216

Lattice parameters (Å, degrees): 4.517 4.517 4.517 60.00 60.00 60.00
Atoms (fractional coordinates):
Se  0.750  0.750  0.750
In  0.500  0.500  0.500
Tc  0.000  0.000  0.000
Tc  0.250  0.250  0.250

---

Record 9
The following is a DFT calculation (meta-GGA SCAN) of a crystal of ZrTaMn2 relaxed with PBEsol.

Output
- Calculated formation energy: 0.12 eV/atom
- Symmetry: I-4m2, No. 119

Lattice parameters (Å, degrees): 3.619 3.619 5.273 110.07 110.07 90.00
Last column: magnetic moment on the atom in μB.
Atoms (fractional coordinates):
Zr  0.250  0.750  0.500  -0.55
Mn  0.750  0.250  0.500  2.39
Mn  0.000  0.000  0.000  2.26
Ta  0.500  0.500  0.000  -0.69

---

Record 10
The following is a DFT calculation (meta-GGA SCAN) of a crystal of KLa3Hf relaxed with PBEsol.

Output
- Calculated formation energy: 0.47 eV/atom
- Symmetry: Pm-3m, No. 221

Lattice parameters (Å, degrees): 5.900 5.900 5.900 90.00 90.00 90.00
Atoms (fractional coordinates):
La  0.500  0.000  0.000
La  0.000  0.000  0.500
La  0.000  0.500  0.000
Hf  0.000  0.000  0.000
K  0.500  0.500  0.500

---

Record 11
The following is a DFT calculation (meta-GGA SCAN) of a crystal of AsPRh2 relaxed with PBEsol.

Output
- Calculated formation energy: 0.27 eV/atom
- Distance to the lowest polymorph of the same formula: 729.1 meV/atom
- Symmetry: F-43m, No. 216

Lattice parameters (Å, degrees): 4.316 4.316 4.316 60.00 60.00 60.00
Atoms (fractional coordinates):
Rh  0.750  0.750  0.750
Rh  0.000  0.000  0.000
P  0.250  0.250  0.250
As  0.500  0.500  0.500

---

Record 12
The following is a DFT calculation (meta-GGA SCAN) of a crystal of Sr2LaPd2 relaxed with PBEsol.

Output
- Calculated formation energy: -0.57 eV/atom
- Symmetry: P4/mbm, No. 127

Lattice parameters (Å, degrees): 4.689 7.697 7.697 90.00 90.00 90.00
Atoms (fractional coordinates):
Pd  0.000  0.872  0.628
Pd  0.000  0.372  0.872
Pd  0.000  0.128  0.372
Pd  0.000  0.628  0.128
Sr  0.500  0.835  0.335
Sr  0.500  0.165  0.665
Sr  0.500  0.335  0.165
Sr  0.500  0.665  0.835
La  0.000  0.500  0.500
La  0.000  0.000  0.000

---

no.,Fermi-level density of states (states/eV/cell),electronic total energy (eV/atom)
1,2.02,-20.611
2,3.96,-9.638
3,2.17,-57.787
4,0.00,-29.914
5,7.24,-33.657
6,5.34,-41.386
7,0.00,-12.057
8,4.28,-30.196
9,3.96,-33.331
10,4.36,-39.596
11,3.50,-24.266
12,6.79,-31.207